A geometry-optimized RbGa3I structure, computed with PBEsol.

Structure (POSCAR):
```
RbGa3I
1.0
-0.656 5.549 1.933
-4.326 -1.773 3.620
3.977 -1.013 4.257
I Ga Rb
1 3 1
Direct
0.000 0.000 0.000 I
0.000 0.500 0.000 Ga
0.000 0.000 0.500 Ga
0.500 0.000 0.000 Ga
0.500 0.500 0.500 Rb
```

Calculated values
D(E_F) (states/eV/cell): 2.61
Space-group type: Pm-3m, No. 221
Raw total energy (eV/atom): -2.161
Total magnetization (Bohr magnetons per cell): 0.00
ΔE_f (raw) (eV per atom): 0.40